## Ce2PmC2 (PBE)

Data for crystalline Ce2PmC2 at its relaxed geometry.

Values from the calculation:
Formation energy = -97 meV per atom

a = 6.378 Å, b = 6.378 Å, c = 6.378 Å
α = 146.85°, β = 131.90°, γ = 59.67°
Fractional positions:
Ce: 0.175 0.175 0.000
Ce: 0.825 0.825 0.000
Pm: 0.500 0.500 0.000
C: 0.321 0.821 0.500
C: 0.679 0.179 0.500



## Li2RePb (PBE)

Data for crystalline Li2RePb at its relaxed geometry.

Values from the calculation:
Formation energy = 542 meV per atom

a = 2.926 Å, b = 2.926 Å, c = 9.524 Å
α = 90.00°, β = 90.00°, γ = 110.79°
Fractional positions:
Li: 0.000 0.000 0.000
Li: 0.500 0.500 0.260
Re: 0.500 0.500 0.777
Pb: 0.000 0.000 0.526



## YScTc3 (PBE)

Data for crystalline YScTc3 at its relaxed geometry.

Values from the calculation:
Offset from the most stable computed form = 0.000 eV per atom
Formation energy = 1159 meV per atom

a = 4.689 Å, b = 4.689 Å, c = 4.689 Å
α = 90.00°, β = 90.00°, γ = 90.00°
Fractional positions:
Y: 0.000 0.000 0.000
Sc: 0.500 0.500 0.500
Tc: 0.000 0.500 0.500
Tc: 0.500 0.000 0.500
Tc: 0.500 0.500 0.000



## BaNaHg (PBE)

Data for crystalline BaNaHg at its relaxed geometry.

Values from the calculation:
Offset from the most stable computed form = 0.000 eV per atom
Formation energy = -336 meV per atom

a = 4.936 Å, b = 8.840 Å, c = 8.840 Å
α = 119.94°, β = 90.00°, γ = 90.00°
Fractional positions:
Ba: 0.000 0.000 0.000
Ba: 0.000 0.180 0.590
Ba: 0.000 0.590 0.180
Na: 0.500 0.350 0.350
Na: 0.500 0.590 0.831
Na: 0.500 0.831 0.590
Hg: 0.000 0.591 0.591
Hg: 0.500 0.257 0.923
Hg: 0.500 0.923 0.257



## TlAsP (PBE)

Data for crystalline TlAsP at its relaxed geometry.

Values from the calculation:
Offset from the most stable computed form = 0.471 eV per atom
Formation energy = 529 meV per atom

a = 4.713 Å, b = 4.713 Å, c = 4.713 Å
α = 60.00°, β = 60.00°, γ = 60.00°
Fractional positions:
Tl: 0.000 0.000 0.000
As: 0.500 0.500 0.500
P: 0.750 0.750 0.750



## Zr2ZnTc (PBE)

Data for crystalline Zr2ZnTc at its relaxed geometry.

Values from the calculation:
Formation energy = -112 meV per atom

a = 3.030 Å, b = 3.030 Å, c = 8.766 Å
α = 90.00°, β = 90.00°, γ = 109.79°
Fractional positions:
Zr: 0.000 0.000 0.233
Zr: 0.000 0.000 0.767
Zn: 0.500 0.500 0.500
Tc: 0.500 0.500 0.000



## NiW4Au (PBE)

Data for crystalline NiW4Au at its relaxed geometry.

Values from the calculation:
Formation energy = 698 meV per atom

a = 5.238 Å, b = 5.238 Å, c = 5.238 Å
α = 60.00°, β = 60.00°, γ = 60.00°
Fractional positions:
Ni: 0.000 0.000 0.000
W: 0.124 0.625 0.625
W: 0.625 0.124 0.625
W: 0.625 0.625 0.124
W: 0.625 0.625 0.625
Au: 0.250 0.250 0.250



## NpCuBiS4 (PBE)

Data for crystalline NpCuBiS4 at its relaxed geometry.

Values from the calculation:
Energy relative to the elements, uncorrected = -685 meV per atom

a = 7.805 Å, b = 7.805 Å, c = 7.805 Å
α = 120.62°, β = 119.60°, γ = 89.82°
Fractional positions:
Np: 0.000 0.000 0.000
Np: 0.500 0.000 0.500
Cu: 0.376 0.626 0.750
Cu: 0.624 0.374 0.250
Bi: 0.000 0.000 0.500
Bi: 0.000 0.500 0.000
S: 0.257 0.241 0.016
S: 0.258 0.250 0.493
S: 0.258 0.765 0.007
S: 0.274 0.759 0.516
S: 0.726 0.241 0.484
S: 0.742 0.235 0.993
S: 0.742 0.750 0.507
S: 0.743 0.759 0.984



## Sc2AgGe (PBE)

Data for crystalline Sc2AgGe at its relaxed geometry.

Values from the calculation:
Formation energy = 137 meV per atom

a = 10.396 Å, b = 10.396 Å, c = 10.396 Å
α = 17.51°, β = 17.51°, γ = 17.51°
Fractional positions:
Sc: 0.089 0.089 0.089
Sc: 0.911 0.911 0.911
Ag: 0.500 0.500 0.500
Ge: 0.000 0.000 0.000



## HoMnAl2 (PBE)

Data for crystalline HoMnAl2 at its relaxed geometry.

Values from the calculation:
Formation energy = -222 meV per atom

a = 3.207 Å, b = 3.207 Å, c = 7.031 Å
α = 90.00°, β = 90.00°, γ = 90.00°
Fractional positions:
Ho: 0.000 0.000 0.000
Mn: 0.000 0.000 0.500
Al: 0.500 0.500 0.305
Al: 0.500 0.500 0.695



## Pm3Dy3Ho (PBE)

Data for crystalline Pm3Dy3Ho at its relaxed geometry.

Values from the calculation:
Offset from the most stable computed form = 0.000 eV per atom
Formation energy = 19 meV per atom

a = 9.624 Å, b = 9.624 Å, c = 5.747 Å
α = 90.00°, β = 90.00°, γ = 120.00°
Fractional positions:
Pm: 0.048 0.807 0.250
Pm: 0.193 0.241 0.250
Pm: 0.241 0.048 0.750
Pm: 0.759 0.952 0.250
Pm: 0.807 0.759 0.750
Pm: 0.952 0.193 0.750
Dy: 0.095 0.617 0.750
Dy: 0.383 0.478 0.750
Dy: 0.478 0.095 0.250
Dy: 0.522 0.905 0.750
Dy: 0.617 0.522 0.250
Dy: 0.905 0.383 0.250
Ho: 0.333 0.667 0.250
Ho: 0.667 0.333 0.750



## YBPd2Rh (PBE)

Data for crystalline YBPd2Rh at its relaxed geometry.

Values from the calculation:
Formation energy = -694 meV per atom

a = 4.324 Å, b = 4.324 Å, c = 4.189 Å
α = 90.00°, β = 90.00°, γ = 90.00°
Fractional positions:
Y: 0.000 0.000 0.000
B: 0.500 0.500 0.500
Pd: 0.000 0.500 0.500
Pd: 0.500 0.000 0.500
Rh: 0.500 0.500 0.000



## BaAlRh (PBE)

Data for crystalline BaAlRh at its relaxed geometry.

Values from the calculation:
Formation energy = -16 meV per atom

a = 4.879 Å, b = 4.879 Å, c = 4.879 Å
α = 60.00°, β = 60.00°, γ = 60.00°
Fractional positions:
Ba: 0.000 0.000 0.000
Al: 0.500 0.500 0.500
Rh: 0.250 0.250 0.250



## Sr2TlPbS4 (PBE)

Data for crystalline Sr2TlPbS4 at its relaxed geometry.

Values from the calculation:
Energy relative to the elements, uncorrected = -1190 meV per atom

a = 8.537 Å, b = 8.537 Å, c = 8.537 Å
α = 120.13°, β = 119.92°, γ = 89.95°
Fractional positions:
Sr: 0.000 0.000 0.000
Sr: 0.500 0.000 0.000
Sr: 0.500 0.000 0.500
Sr: 0.500 0.500 0.500
Tl: 0.000 0.500 0.500
Tl: 0.500 0.500 0.000
Pb: 0.000 0.000 0.500
Pb: 0.000 0.500 0.000
S: 0.250 0.248 0.002
S: 0.251 0.247 0.497
S: 0.251 0.754 0.003
S: 0.254 0.752 0.502
S: 0.746 0.248 0.498
S: 0.749 0.246 0.997
S: 0.749 0.753 0.503
S: 0.750 0.752 0.998



## Tm4B3Rh12Pb (PBE)

Data for crystalline Tm4B3Rh12Pb at its relaxed geometry.

Values from the calculation:
Formation energy = -489 meV per atom

a = 7.561 Å, b = 7.561 Å, c = 7.561 Å
α = 109.47°, β = 109.47°, γ = 109.47°
Fractional positions:
Tm: 0.000 0.000 0.500
Tm: 0.000 0.500 0.000
Tm: 0.500 0.000 0.000
Tm: 0.500 0.500 0.500
B: 0.000 0.500 0.500
B: 0.500 0.000 0.500
B: 0.500 0.500 0.000
Rh: 0.000 0.282 0.282
Rh: 0.000 0.718 0.718
Rh: 0.250 0.500 0.750
Rh: 0.250 0.750 0.500
Rh: 0.282 0.000 0.282
Rh: 0.282 0.282 0.000
Rh: 0.500 0.250 0.750
Rh: 0.500 0.750 0.250
Rh: 0.718 0.000 0.718
Rh: 0.718 0.718 0.000
Rh: 0.750 0.250 0.500
Rh: 0.750 0.500 0.250
Pb: 0.000 0.000 0.000



## TbCePu2S4 (PBE)

Data for crystalline TbCePu2S4 at its relaxed geometry.

Values from the calculation:
Energy relative to the elements, uncorrected = -1912 meV per atom

a = 6.861 Å, b = 3.958 Å, c = 6.876 Å
α = 90.00°, β = 109.32°, γ = 90.00°
Fractional positions:
Tb: 0.000 0.000 0.000
Ce: 0.000 0.500 0.500
Pu: 0.500 0.000 0.500
Pu: 0.500 0.500 0.000
S: 0.251 0.500 0.247
S: 0.255 0.000 0.756
S: 0.745 0.000 0.244
S: 0.749 0.500 0.753



## Ac2PAu (PBE)

Data for crystalline Ac2PAu at its relaxed geometry.

Values from the calculation:
Offset from the most stable computed form = 0.004 eV per atom
Formation energy = -1041 meV per atom

a = 8.294 Å, b = 8.294 Å, c = 8.294 Å
α = 30.21°, β = 30.21°, γ = 30.21°
Fractional positions:
Ac: 0.000 0.000 0.000
Ac: 0.180 0.180 0.180
P: 0.591 0.591 0.591
Au: 0.758 0.758 0.758



## CuHgAu2 (PBE)

Data for crystalline CuHgAu2 at its relaxed geometry.

Values from the calculation:
Formation energy = 100 meV per atom

a = 4.652 Å, b = 4.652 Å, c = 4.652 Å
α = 60.00°, β = 60.00°, γ = 60.00°
Fractional positions:
Cu: 0.000 0.000 0.000
Hg: 0.250 0.250 0.250
Au: 0.500 0.500 0.500
Au: 0.750 0.750 0.750



## SrHgSb2 (PBE)

Data for crystalline SrHgSb2 at its relaxed geometry.

Values from the calculation:
Energy relative to the elements, uncorrected = -438 meV per atom

a = 6.369 Å, b = 6.369 Å, c = 4.729 Å
α = 104.72°, β = 104.72°, γ = 45.94°
Fractional positions:
Sr: 0.000 0.000 0.000
Hg: 0.292 0.292 0.786
Sb: 0.479 0.479 0.479
Sb: 0.694 0.694 0.968



## Sr3Ac3CdO8 (PBE)

Data for crystalline Sr3Ac3CdO8 at its relaxed geometry.

Values from the calculation:
Energy relative to the elements, uncorrected = -2548 meV per atom

a = 7.382 Å, b = 7.382 Å, c = 7.382 Å
α = 59.89°, β = 59.89°, γ = 59.89°
Fractional positions:
Sr: 0.000 0.500 0.500
Sr: 0.500 0.000 0.500
Sr: 0.500 0.500 0.000
Ac: 0.000 0.000 0.500
Ac: 0.000 0.500 0.000
Ac: 0.500 0.000 0.000
Cd: 0.500 0.500 0.500
O: 0.251 0.251 0.251
O: 0.258 0.734 0.734
O: 0.266 0.266 0.742
O: 0.266 0.742 0.266
O: 0.734 0.258 0.734
O: 0.734 0.734 0.258
O: 0.742 0.266 0.266
O: 0.749 0.749 0.749



Results for DOS(E_F): 1.30; 0.59; 1.05; 0.75; 0.89; 0.95; 0.70; 1.28; 1.23; 1.00; 1.78; 0.62; 0.50; 0.60; 0.76; 2.04; 0.61; 0.30; 0.08; 0.25 (in states/eV/atom, following the order of the records).
Results for E: -35.55; -17.82; -38.10; -13.65; -10.84; -29.18; -56.69; -84.44; -19.58; -22.12; -65.01; -34.35; -13.06; -70.93; -139.62; -71.04; -21.07; -10.55; -11.98; -96.18 (in eV for the cell shown, following the order of the records).